Nd2Sm3N4 | PBE-GGA | relaxed

```
data_Nd2Sm3N4
_cell_length_a 6.289
_cell_length_b 6.289
_cell_length_c 8.965
_cell_angle_alpha 118.32
_cell_angle_beta 118.32
_cell_angle_gamma 33.31
_space_group_name_H-M_alt 'P 1'
_space_group_IT_number 1
loop_
_space_group_symop_operation_xyz
'x,y,z'
loop_
_atom_site_label
_atom_site_type_symbol
_atom_site_fract_x
_atom_site_fract_y
_atom_site_fract_z
Nd1 Nd 0.106 0.106 0.385
Nd2 Nd 0.894 0.894 0.615
Sm1 Sm 0.293 0.293 0.186
Sm2 Sm 0.500 0.500 0.000
Sm3 Sm 0.707 0.707 0.814
N1 N 0.105 0.105 0.906
N2 N 0.302 0.302 0.699
N3 N 0.698 0.698 0.301
N4 N 0.895 0.895 0.094
```

## Properties
The value obtained for the density is 7.8 g/cm³. The calculation puts the energy relative to the elements, uncorrected at -1.282 eV per atom.